A plane-wave DFT calculation with GGA-PBE was carried out for BeIn2SiF after structural relaxation.

Unit cell a=5.850 b=5.850 c=3.009 alpha=90.00 beta=90.00 gamma=90.00
Space group P4/mmm (No. 123)
Asymmetric unit:
Be: 0.000 0.000 0.000 (multiplicity 1)
In: 0.000 0.500 0.500 (multiplicity 2)
Si: 0.500 0.500 0.000 (multiplicity 1)
F: 0.000 0.000 0.500 (multiplicity 1)

Properties
E_form (uncorrected) (eV per atom): -0.1576
Total moment (Bohr magnetons per cell): 0.0

A plane-wave DFT calculation with GGA-PBE was carried out for HfSc2Zn after structural relaxation.

Unit cell a=7.727 b=7.727 c=5.838 alpha=90.00 beta=90.00 gamma=90.00
Space group I-42d (No. 122)
Asymmetric unit:
Hf: 0.000 0.000 0.000 (multiplicity 4)
Sc: 0.212 0.250 0.625 (multiplicity 8)
Zn: 0.000 0.000 0.500 (multiplicity 4)

Properties
Total moment (Bohr magnetons per cell): 0.0
Formation enthalpy at 0 K (kJ per mole of atoms): 21.37

A plane-wave DFT calculation with GGA-PBE was carried out for InPtF3 after structural relaxation.

Unit cell a=4.393 b=4.393 c=4.393 alpha=90.00 beta=90.00 gamma=90.00
Space group Pm-3m (No. 221)
Asymmetric unit:
In: 0.000 0.000 0.000 (multiplicity 1)
Pt: 0.500 0.500 0.500 (multiplicity 1)
F: 0.000 0.500 0.500 (multiplicity 3)

Properties
E_form (uncorrected) (eV per atom): -1.0923
Total moment (Bohr magnetons per cell): 0.0